1.
## PmPr2C (PBE)

Data for a relaxed structure of PmPr2C.

Final energy = -5.812 eV per atom
SG = No. 166

Structure (POSCAR):
```
PmPr2C
1.0
3.665 0.000 0.000
1.833 3.174 0.000
1.833 1.058 10.180
C Pr Pm
1 2 1
Cartesian
3.665 2.116 5.090 C
5.498 3.174 3.651 Pr
1.833 1.058 6.529 Pr
0.000 0.000 0.000 Pm
```

***

2.
## Pm6PtC2 (PBE)

Data for a relaxed structure of Pm6PtC2.

Final energy = -6.137 eV per atom
SG = No. 12

Structure (POSCAR):
```
Pm6PtC2
1.0
5.149 0.000 0.000
2.574 6.143 -0.169
2.574 2.392 7.632
Pm C Pt
6 2 1
Cartesian
2.574 2.907 6.120 Pm
7.723 5.628 1.344 Pm
7.723 6.452 6.821 Pm
5.149 2.716 3.015 Pm
2.574 2.083 0.642 Pm
5.149 5.819 4.448 Pm
5.149 6.591 6.775 C
5.149 1.944 0.688 C
2.574 4.268 3.732 Pt
```

***

3.
## Pm12Pt6C (PBE)

Data for a relaxed structure of Pm12Pt6C.

Final energy = -6.124 eV per atom
SG = No. 148

Structure (POSCAR):
```
Pm12Pt6C
1.0
-7.866 -1.930 1.769
2.115 -7.007 -3.893
3.346 -1.674 7.399
Pm Pt C
12 6 1
Cartesian
4.264 -6.503 4.238 Pm
1.459 -4.282 3.007 Pm
2.492 -7.375 -1.356 Pm
-0.917 -5.391 5.498 Pm
-1.488 -5.220 -0.223 Pm
-6.670 -4.108 1.037 Pm
-4.898 -3.236 6.631 Pm
0.418 -7.530 1.804 Pm
-3.865 -6.329 2.267 Pm
0.964 -2.693 7.367 Pm
-2.824 -3.081 3.471 Pm
-3.370 -7.918 -2.092 Pm
1.386 -7.074 4.386 Pt
-0.032 -2.541 4.606 Pt
-3.792 -3.536 0.888 Pt
1.290 -5.099 0.062 Pt
-3.696 -5.511 5.213 Pt
-2.374 -8.070 0.669 Pt
0.000 0.000 0.000 C
```

***

4.
## Pm12Pt3C5 (PBE)

Data for a relaxed structure of Pm12Pt3C5.

Final energy = -6.345 eV per atom
SG = No. 230

Structure (POSCAR):
```
Pm12Pt3C5
1.0
-11.541 -1.919 -7.286
0.862 -9.598 9.854
-0.242 12.510 5.780
Pt C Pm
12 20 48
Cartesian
-8.363 -3.475 -1.046 Pt
-0.870 0.745 12.047 Pt
-7.072 4.584 3.477 Pt
-2.559 4.468 9.395 Pt
-10.052 0.249 -3.698 Pt
-1.439 8.307 6.610 Pt
-3.850 -3.591 4.872 Pt
-7.089 1.092 0.077 Pt
-2.868 3.012 1.578 Pt
-8.053 -2.019 6.771 Pt
-9.483 -7.314 1.738 Pt
-3.833 -0.099 8.271 Pt
-4.402 7.463 2.834 C
-2.714 3.740 5.486 C
-0.121 6.255 2.890 C
-5.340 -5.758 1.284 C
-1.180 -0.712 4.230 C
-6.520 -6.470 5.514 C
0.310 1.456 7.817 C
-5.892 5.295 -0.753 C
0.431 -4.799 4.927 C
-5.461 0.497 4.174 C
-8.760 8.307 0.825 C
-9.742 1.705 4.119 C
-4.143 -1.555 0.454 C
-10.035 3.740 -0.299 C
-8.208 -2.747 2.862 C
-0.887 -2.747 8.647 C
-5.771 -0.960 -3.643 C
-6.779 2.549 7.894 C
0.000 0.000 0.000 C
-2.162 -7.314 7.524 C
-0.320 -7.442 9.022 Pm
-6.027 7.254 4.557 Pm
-3.115 -3.052 7.875 Pm
-0.910 -0.419 9.132 Pm
-8.753 -6.676 4.723 Pm
-4.987 2.481 9.456 Pm
-8.695 -9.936 3.113 Pm
-1.038 4.013 3.822 Pm
-6.320 0.594 6.621 Pm
-3.343 -0.588 5.210 Pm
-0.162 6.310 8.551 Pm
-10.012 1.412 -0.784 Pm
-4.816 5.472 1.602 Pm
-3.228 5.729 6.683 Pm
-4.050 -3.553 1.740 Pm
-0.305 -4.120 10.500 Pm
-7.579 1.581 3.139 Pm
-8.059 -2.174 -3.804 Pm
-8.840 -1.314 1.073 Pm
-7.807 4.045 0.473 Pm
-10.602 8.436 -0.673 Pm
-4.508 2.910 4.165 Pm
-6.175 -1.975 9.191 Pm
0.050 2.833 10.002 Pm
-2.081 2.307 7.275 Pm
-6.105 -4.479 6.746 Pm
-4.601 0.399 1.727 Pm
-10.032 0.296 6.012 Pm
-5.935 -1.487 -1.107 Pm
-4.747 2.968 -0.843 Pm
-6.414 -1.917 4.184 Pm
-2.169 7.669 3.625 Pm
-0.889 0.697 2.336 Pm
-1.057 -3.035 3.740 Pm
-2.227 10.930 5.235 Pm
-9.884 -3.020 4.527 Pm
-7.189 1.134 -3.059 Pm
-10.617 5.113 -2.151 Pm
-10.972 -1.840 -1.653 Pm
-2.863 3.167 12.152 Pm
-7.694 -4.736 1.665 Pm
-9.101 6.834 2.660 Pm
-1.821 -5.841 5.688 Pm
-4.895 -6.261 3.791 Pm
-6.872 4.546 6.608 Pm
-3.733 -0.141 11.407 Pm
-9.865 4.028 4.608 Pm
-10.760 -5.316 -0.203 Pm
```

***

5.
## Pm4PtC (PBE)

Data for a relaxed structure of Pm4PtC.

Final energy = -6.045 eV per atom
SG = No. 12

Structure (POSCAR):
```
Pm4PtC
1.0
-3.438 -0.076 1.531
-2.829 -1.657 -6.433
1.930 -12.094 3.733
Pt C Pm
2 2 8
Cartesian
-3.133 -0.866 -2.451 Pt
0.965 -6.047 1.867 Pt
0.000 0.000 0.000 C
-2.168 -6.914 -0.584 C
-1.030 -5.768 -2.599 Pm
-1.528 -4.962 0.950 Pm
-3.967 -2.802 -4.418 Pm
-2.809 -8.865 -2.119 Pm
-3.696 -11.876 0.366 Pm
-0.369 -11.025 3.250 Pm
-0.641 -1.951 -1.535 Pm
-3.306 -8.059 1.431 Pm
```

***

6.
## Pm6Pt2C (PBE)

Data for a relaxed structure of Pm6Pt2C.

Final energy = -6.134 eV per atom
SG = No. 14

Structure (POSCAR):
```
Pm6Pt2C
1.0
6.674 0.000 -0.005
0.000 7.314 0.000
0.310 0.000 9.941
Pm C Pt
12 2 4
Cartesian
1.331 2.235 5.569 Pm
5.423 4.933 0.581 Pm
4.395 3.385 7.552 Pm
2.471 5.892 9.339 Pm
6.081 7.042 7.351 Pm
2.242 6.039 5.554 Pm
4.742 1.276 4.382 Pm
2.589 3.929 2.383 Pm
4.513 1.422 0.596 Pm
0.903 0.272 2.584 Pm
1.560 2.382 9.355 Pm
5.652 5.079 4.366 Pm
3.337 3.657 -0.003 C
0.155 0.000 4.970 C
6.429 2.937 2.443 Pt
3.247 0.720 7.416 Pt
0.555 4.377 7.493 Pt
3.737 6.594 2.520 Pt
```

***

7.
## PmPuC2 (PBE)

Data for a relaxed structure of PmPuC2.

Final energy = -9.219 eV per atom
SG = No. 38

Structure (POSCAR):
```
PmPuC2
1.0
-0.656 -3.838 0.302
4.302 -0.700 0.450
-1.198 0.534 4.181
Pu C Pm
1 2 1
Cartesian
0.579 -1.857 2.904 Pu
2.850 -2.299 2.225 C
2.056 -2.257 1.041 C
4.028 -0.639 0.636 Pm
```

***

8.
## Pm3PuC8 (PBE)

Data for a relaxed structure of Pm3PuC8.

Final energy = -8.340 eV per atom
SG = No. 121

Structure (POSCAR):
```
Pm3PuC8
1.0
-5.912 -2.362 0.441
1.559 3.598 5.039
-3.682 5.187 0.510
Pu C Pm
1 8 3
Cartesian
-5.912 -2.361 0.441 Pu
-7.366 1.154 0.694 C
-3.987 3.019 3.878 C
-5.259 -0.693 2.075 C
-3.175 6.028 3.132 C
-5.746 3.915 0.648 C
-2.780 -0.196 0.240 C
-4.309 2.261 2.876 C
-2.641 3.001 0.340 C
-4.797 1.413 0.476 Pm
-1.618 2.509 2.758 Pm
-6.415 3.922 3.233 Pm
```

***

| no. | ΔE_f (eV per atom) | DOS at the Fermi energy (states/eV/atom) | magnetic moment (μB per formula unit) |
| --- | --- | --- | --- |
| 1 | 0.071 | 0.919 | 0.0 |
| 2 | -0.249 | 0.704 | 0.0 |
| 3 | -0.731 | 0.966 | 0.0 |
| 4 | -0.282 | 0.872 | 0.0 |
| 5 | -0.334 | 1.223 | 0.0 |
| 6 | -0.600 | 1.021 | 0.0 |
| 7 | 0.164 | 2.026 | 4.9 |
| 8 | 0.191 | 1.189 | 5.6 |